[1]
BaRe2P: optimized geometry, GGA-PBE.

Structure (POSCAR):
```
BaRe2P
1.0
-0.313 -2.743 1.321
0.750 -1.356 -2.639
7.982 0.145 2.194
Re Ba P
2 1 1
Direct
0.000 0.000 0.595
0.000 0.000 0.905
0.500 0.500 0.250
0.500 0.500 0.750
```

Calculated values
Its space group is No. 123. The calculation puts the total DFT energy (no corrections) at -7.42 eV/atom. As for the calculated volume: 77.56 Å³ per cell.

---

[2]
CdNiCl: optimized geometry, GGA-PBE.

Structure (POSCAR):
```
CdNiCl
1.0
-1.904 -1.900 1.950
0.223 -0.655 -3.249
4.444 -3.431 0.996
Cd Ni Cl
1 1 1
Direct
0.000 0.000 0.968
0.333 0.667 0.648
0.667 0.333 0.384
```

Calculated values
Its space group is No. 156. Its offset from the most stable computed form is 0 meV per atom. The calculation puts the total DFT energy (no corrections) at -2.91 eV/atom. As for the calculated volume: 54.49 Å³ per cell.

---

[3]
CeNpGe2: optimized geometry, GGA-PBE.

Structure (POSCAR):
```
CeNpGe2
1.0
-3.640 -1.394 -0.077
0.154 -0.615 3.846
-2.061 5.330 0.935
Ge Ce Np
2 1 1
Direct
0.000 0.000 0.768
0.000 0.000 0.232
0.500 0.500 0.500
0.500 0.500 0.000
```

Calculated values
Its space group is No. 123. The calculation puts the total DFT energy (no corrections) at -7.45 eV/atom. As for the calculated volume: 88.00 Å³ per cell.

---

[4]
SrSi2Ag: optimized geometry, GGA-PBE.

Structure (POSCAR):
```
SrSi2Ag
1.0
-3.833 -2.325 2.729
-2.283 -0.562 -4.692
4.471 -2.094 1.780
Sr Ag Si
1 1 2
Direct
0.750 0.250 0.500
0.250 0.750 0.500
0.083 0.083 0.000
0.417 0.417 0.000
```

Calculated values
Its space group is No. 71. The calculation puts the total DFT energy (no corrections) at -3.89 eV/atom. As for the calculated volume: 100.73 Å³ per cell.

---

[5]
HfP2CO: optimized geometry, GGA-PBE.

Structure (POSCAR):
```
HfP2CO
1.0
-2.269 -1.851 -4.209
0.562 -4.770 1.795
-3.477 0.254 1.763
P O Hf C
2 1 1 1
Direct
0.500 0.000 0.000
0.000 0.500 0.000
0.000 0.000 0.500
0.000 0.000 0.000
0.500 0.500 0.500
```

Calculated values
Its space group is No. 123. Its offset from the most stable computed form is 606 meV per atom. The calculation puts the total DFT energy (no corrections) at -6.08 eV/atom. As for the calculated volume: 102.67 Å³ per cell.

---

[6]
Cs3CuAg2Br9: optimized geometry, GGA-PBE.

Structure (POSCAR):
```
Cs3CuAg2Br9
1.0
-1.162 0.053 7.567
-5.661 -2.050 -4.728
2.825 -8.947 0.496
Br Ag Cu Cs
9 2 1 3
Direct
0.500 0.000 0.000
0.161 0.839 0.341
0.839 0.161 0.659
0.679 0.839 0.341
0.839 0.679 0.659
0.161 0.321 0.341
0.500 0.500 0.000
0.321 0.161 0.659
0.000 0.500 0.000
0.333 0.667 0.173
0.667 0.333 0.827
0.000 0.000 0.500
0.667 0.333 0.333
0.000 0.000 0.000
0.333 0.667 0.667
```

Calculated values
Its space group is No. 164. The calculation puts the total DFT energy (no corrections) at -2.72 eV/atom. As for the calculated volume: 476.85 Å³ per cell.

---

[7]
Os3CSe: optimized geometry, GGA-PBE.

Structure (POSCAR):
```
Os3CSe
1.0
-2.812 -2.999 -0.023
1.602 -1.529 3.464
-2.535 2.360 2.214
Os Se C
3 1 1
Direct
0.000 0.000 0.500
0.000 0.500 0.000
0.500 0.000 0.000
0.500 0.500 0.500
0.000 0.000 0.000
```

Calculated values
Its space group is No. 221. Its offset from the most stable computed form is 0 meV per atom. The calculation puts the total DFT energy (no corrections) at -8.32 eV/atom. As for the calculated volume: 69.48 Å³ per cell.

---

[8]
Ba2Cd4PdAu3: optimized geometry, GGA-PBE.

Structure (POSCAR):
```
Ba2Cd4PdAu3
1.0
4.907 0.000 0.000
0.000 4.907 0.000
0.000 0.000 11.107
Cd Au Pd Ba
4 3 1 2
Direct
0.500 0.000 0.617
0.000 0.000 0.000
0.000 0.500 0.383
0.500 0.500 0.000
0.000 0.000 0.500
0.500 0.000 0.866
0.000 0.500 0.134
0.500 0.500 0.500
0.500 0.000 0.266
0.000 0.500 0.734
```

Calculated values
Its space group is No. 115. The calculation puts the total DFT energy (no corrections) at -2.72 eV/atom. As for the calculated volume: 267.39 Å³ per cell.

---

[9]
K2Cl3: optimized geometry, GGA-PBE.

Structure (POSCAR):
```
K2Cl3
1.0
7.628 0.000 0.000
3.814 6.606 0.000
3.814 2.202 7.684
Cl K
6 4
Direct
0.250 0.519 0.250
0.519 0.981 0.250
0.019 0.750 0.750
0.481 0.019 0.750
0.750 0.481 0.750
0.981 0.250 0.250
0.644 0.644 0.068
0.144 0.144 0.568
0.856 0.856 0.432
0.356 0.356 0.932
```

Calculated values
Its space group is No. 167. Its offset from the most stable computed form is 0 meV per atom. The calculation puts the total DFT energy (no corrections) at -2.88 eV/atom. As for the calculated volume: 387.26 Å³ per cell.

---

[10]
Dy12Y3Al: optimized geometry, GGA-PBE.

Structure (POSCAR):
```
Dy12Y3Al
1.0
4.935 0.000 0.000
0.000 4.935 0.000
0.000 0.000 20.047
Dy Y Al
12 3 1
Direct
0.500 0.000 0.372
0.500 0.500 0.243
0.500 0.000 0.883
0.500 0.500 0.500
0.000 0.500 0.628
0.500 0.000 0.117
0.500 0.000 0.628
0.000 0.500 0.883
0.500 0.500 0.000
0.500 0.500 0.757
0.000 0.500 0.372
0.000 0.500 0.117
0.000 0.000 0.246
0.000 0.000 0.500
0.000 0.000 0.754
0.000 0.000 0.000
```

Calculated values
Its space group is No. 123. The calculation puts the total DFT energy (no corrections) at -4.91 eV/atom. As for the calculated volume: 488.22 Å³ per cell.

---

[11]
Ac4CoIBr2: optimized geometry, GGA-PBE.

Structure (POSCAR):
```
Ac4CoIBr2
1.0
4.316 0.000 0.000
0.000 8.734 0.335
0.000 -2.844 7.674
Co Br Ac I
1 2 4 1
Direct
0.500 0.500 0.000
0.000 0.500 0.500
0.500 0.000 0.500
0.000 0.307 0.801
0.500 0.700 0.773
0.000 0.693 0.199
0.500 0.300 0.227
0.000 0.000 0.000
```

Calculated values
Its space group is No. 10. The calculation puts the total DFT energy (no corrections) at -4.41 eV/atom. As for the calculated volume: 293.37 Å³ per cell.

---

[12]
CoMo3: optimized geometry, GGA-PBE.

Structure (POSCAR):
```
CoMo3
1.0
4.749 0.015 0.000
-1.570 4.482 0.000
0.000 0.000 2.756
Mo Co
3 1
Direct
0.500 0.000 0.500
0.000 0.500 0.500
0.500 0.500 0.000
0.000 0.000 0.000
```

Calculated values
Its space group is No. 65. The calculation puts the total DFT energy (no corrections) at -9.63 eV/atom. As for the calculated volume: 58.72 Å³ per cell.

---

[13]
Gd3MgP: optimized geometry, GGA-PBE.

Structure (POSCAR):
```
Gd3MgP
1.0
5.376 0.000 0.000
0.000 5.376 0.000
0.000 0.000 5.376
Gd Mg P
3 1 1
Direct
0.000 0.000 0.500
0.500 0.000 0.000
0.000 0.500 0.000
0.500 0.500 0.500
0.000 0.000 0.000
```

Calculated values
Its space group is No. 221. The calculation puts the total DFT energy (no corrections) at -10.36 eV/atom. As for the calculated volume: 155.34 Å³ per cell.

---

[14]
Tm4TePt: optimized geometry, GGA-PBE.

Structure (POSCAR):
```
Tm4TePt
1.0
-1.691 0.065 -5.105
-7.778 -4.885 5.348
0.673 9.407 -0.104
Tm Te Pt
8 2 2
Direct
0.029 0.057 0.352
0.599 0.199 0.696
0.748 0.496 0.312
0.401 0.801 0.304
0.971 0.943 0.648
0.252 0.504 0.688
0.204 0.409 0.014
0.796 0.591 0.986
0.167 0.333 0.296
0.833 0.667 0.704
0.883 0.767 0.317
0.117 0.233 0.683
```

Calculated values
Its space group is No. 12. Its offset from the most stable computed form is 315 meV per atom. The calculation puts the total DFT energy (no corrections) at -5.11 eV/atom. As for the calculated volume: 441.13 Å³ per cell.

---

[15]
Cs2GeAsCl6: optimized geometry, GGA-PBE.

Structure (POSCAR):
```
Cs2GeAsCl6
1.0
7.457 0.000 0.000
0.000 7.457 0.000
3.729 3.729 5.389
Cl As Cs Ge
6 1 2 1
Direct
0.755 0.245 0.000
0.245 0.755 0.000
0.747 0.747 0.507
0.755 0.755 0.000
0.245 0.245 0.000
0.253 0.253 0.493
0.000 0.000 0.000
0.750 0.250 0.500
0.250 0.750 0.500
0.500 0.500 0.000
```

Calculated values
Its space group is No. 139. The calculation puts the total DFT energy (no corrections) at -3.35 eV/atom. As for the calculated volume: 299.70 Å³ per cell.

---

[16]
KP3Os: optimized geometry, GGA-PBE.

Structure (POSCAR):
```
KP3Os
1.0
4.844 0.000 0.000
0.000 4.844 0.000
0.000 0.000 4.844
P Os K
3 1 1
Direct
0.500 0.000 0.000
0.000 0.000 0.500
0.000 0.500 0.000
0.500 0.500 0.500
0.000 0.000 0.000
```

Calculated values
Its space group is No. 221. Its offset from the most stable computed form is 2555 meV per atom. The calculation puts the total DFT energy (no corrections) at -2.72 eV/atom. As for the calculated volume: 113.64 Å³ per cell.

---

[17]
Sr4Cd3: optimized geometry, GGA-PBE.

Structure (POSCAR):
```
Sr4Cd3
1.0
-5.324 -0.741 -1.802
-3.481 -3.489 2.801
-6.000 6.355 6.195
Sr Cd
4 3
Direct
0.294 0.294 0.119
0.706 0.706 0.881
0.877 0.877 0.370
0.123 0.123 0.630
0.593 0.593 0.222
0.407 0.407 0.778
0.500 0.500 0.500
```

Calculated values
Its space group is No. 166. Its offset from the most stable computed form is 65 meV per atom. The calculation puts the total DFT energy (no corrections) at -1.54 eV/atom. As for the calculated volume: 283.91 Å³ per cell.

---

[18]
MgSiO4: optimized geometry, GGA-PBE.

Structure (POSCAR):
```
MgSiO4
1.0
2.839 0.000 0.000
0.000 4.575 -0.002
0.000 0.277 4.573
O Si Mg
4 1 1
Direct
0.500 0.821 0.822
0.000 0.731 0.271
0.500 0.179 0.178
0.000 0.269 0.729
0.000 0.000 0.000
0.500 0.500 0.500
```

Calculated values
Its space group is No. 10. The calculation puts the total DFT energy (no corrections) at -6.38 eV/atom. As for the calculated volume: 59.39 Å³ per cell.

---

[19]
MgCo2Ir2: optimized geometry, GGA-PBE.

Structure (POSCAR):
```
MgCo2Ir2
1.0
7.197 0.000 0.000
0.000 7.197 0.000
0.000 0.000 2.706
Mg Co Ir
2 4 4
Direct
0.000 0.000 0.000
0.500 0.500 0.000
0.119 0.381 0.000
0.381 0.881 0.000
0.881 0.619 0.000
0.619 0.119 0.000
0.324 0.176 0.500
0.676 0.824 0.500
0.824 0.324 0.500
0.176 0.676 0.500
```

Calculated values
Its space group is No. 127. Its offset from the most stable computed form is 0 meV per atom. The calculation puts the total DFT energy (no corrections) at -6.70 eV/atom. As for the calculated volume: 140.16 Å³ per cell.

---

[20]
Ba2TaOs: optimized geometry, GGA-PBE.

Structure (POSCAR):
```
Ba2TaOs
1.0
11.400 0.028 0.017
10.911 3.301 0.017
10.911 1.628 2.872
Os Ba Ta
1 2 1
Direct
0.250 0.250 0.250
0.510 0.510 0.510
0.990 0.990 0.990
0.750 0.750 0.750
```

Calculated values
Its space group is No. 166. Its offset from the most stable computed form is 1221 meV per atom. The calculation puts the total DFT energy (no corrections) at -5.21 eV/atom. As for the calculated volume: 106.59 Å³ per cell.

---

Results for total moment: 0.000 0.000 4.796 0.000 0.093 0.000 0.000 0.000 2.084 0.002 0.000 0.002 22.435 0.000 0.000 1.166 0.000 2.003 6.020 0.619 (in μB per cell, following the order of the records).